DFT (PBE) results for a relaxed CdFe2Cu crystal.

The structure belongs to space group P4/mmm (No. 123); the cell edges are 2.715, 2.715 and 7.632 Å and the angles 90.00°, 90.00° and 90.00°. Symmetry generates all atoms from Cd at (0.000, 0.000, 0.000), Fe at (0.500, 0.500, 0.280) and Cu at (0.000, 0.000, 0.500).

The crystal system is tetragonal. Its total energy is -5.1938 eV/atom.

---

DFT (PBE) results for a relaxed ZrAgGeI2 crystal.

The structure belongs to space group P4/mmm (No. 123); the cell edges are 5.662, 5.662 and 5.448 Å and the angles 90.00°, 90.00° and 90.00°. Symmetry generates all atoms from Zr at (0.000, 0.000, 0.000), Ag at (0.500, 0.500, 0.500), Ge at (0.000, 0.000, 0.500) and I at (0.000, 0.500, 0.000).

The crystal system is tetragonal. The formation energy without anion corrections comes out at 0.272 eV per atom.

---

DFT (PBE) results for a relaxed NdAl3Ir3 crystal.

The structure belongs to space group Pm-3n (No. 223); the cell edges are 6.714, 6.714 and 6.714 Å and the angles 90.00°, 90.00° and 90.00°. Symmetry generates all atoms from Nd at (0.000, 0.000, 0.000), Al at (0.000, 0.250, 0.500) and Ir at (0.000, 0.500, 0.250).

The crystal system is cubic. Its total energy is -6.2793 eV/atom.

---

DFT (PBE) results for a relaxed YAlGe2 crystal.

The structure belongs to space group P4/mmm (No. 123); the cell edges are 4.437, 4.437 and 4.048 Å and the angles 90.00°, 90.00° and 90.00°. Symmetry generates all atoms from Y at (0.000, 0.000, 0.000), Al at (0.500, 0.500, 0.000) and Ge at (0.000, 0.500, 0.500).

The crystal system is tetragonal. Its total energy is -5.2760 eV/atom.

---

Ordered density of states at the Fermi level results: 0.929 1.257 0.693 0.547; unit states/eV per atom.